Compound: SrP2Pb2
Source: the Alexandria database
Functional: PBE-GGA
Structure: optimized geometry

## Properties
Space group   I4/mmm, No. 139
Energy of formation from the pure elements   -305 meV per atom

Lattice parameters (Å, degrees): 7.595 7.595 7.595 145.82 145.82 49.12
Positions (direct):
Sr1 0.000 0.000 0.000
P1 0.422 0.422 0.000
P2 0.578 0.578 0.000
Pb1 0.250 0.750 0.500
Pb2 0.750 0.250 0.500